Material: BaCaVIn
Method: DFT, PBE
State: optimized geometry

Cell and atoms, written as extended XYZ:
```
4
Lattice="6.368 -1.981 0.000 6.368 1.981 0.000 -2.441 0.000 5.024" Properties=species:S:1:pos:R:3 pbc="T T T"
Ba 0.000 0.000 0.000
Ca 0.916 0.000 3.552
V 4.588 0.000 2.241
In 9.130 0.000 1.345
```

Results
Relative energy among the computed polymorphs: 0.058 eV/atom
Formation energy: 0.256 eV/atom
Size of the total moment: 3.70 μB per cell


Material: SrLaPd
Method: DFT, PBE
State: optimized geometry

Cell and atoms, written as extended XYZ:
```
6
Lattice="4.067 0.000 0.000 0.000 4.447 0.000 -2.026 0.000 11.615" Properties=species:S:1:pos:R:3 pbc="T T T"
Sr 0.005 1.112 4.294
Sr 2.037 3.335 7.321
La 0.004 1.112 10.110
La 2.037 3.335 1.505
Pd 0.003 1.112 1.018
Pd 2.038 3.335 10.597
```

Results
Relative energy among the computed polymorphs: 0.000 eV/atom
Formation energy: -0.525 eV/atom
Size of the total moment: 0.00 μB per cell


Material: PrZr2NbN4
Method: DFT, PBE
State: optimized geometry

Cell and atoms, written as extended XYZ:
```
16
Lattice="1.661 -5.875 0.000 1.661 5.875 0.000 0.000 0.000 11.564" Properties=species:S:1:pos:R:3 pbc="T T T"
Pr 1.661 4.590 8.673
Pr 1.661 -4.590 2.891
Zr 1.661 1.524 6.185
Zr 1.661 1.524 11.162
Zr 1.661 -1.524 0.402
Zr 1.661 -1.524 5.380
Nb 1.661 4.072 2.891
Nb 1.661 -4.072 8.673
N 0.000 0.000 0.000
N 0.000 0.000 5.782
N 1.661 2.800 1.316
N 1.661 2.800 4.466
N 1.661 0.532 8.673
N 1.661 -0.532 2.891
N 1.661 -2.800 7.099
N 1.661 -2.800 10.248
```

Results
Size of the total moment: 0.00 μB per cell
Raw formation energy: -9.69 eV/f.u.


Material: BaPbSe2N
Method: DFT, PBE
State: optimized geometry

Cell and atoms, written as extended XYZ:
```
5
Lattice="5.570 0.000 0.000 0.000 5.570 0.000 0.000 0.000 4.458" Properties=species:S:1:pos:R:3 pbc="T T T"
Ba 0.000 0.000 0.000
Pb 2.785 2.785 2.229
Se 0.000 2.785 2.229
Se 2.785 0.000 2.229
N 2.785 2.785 0.000
```

Results
Relative energy among the computed polymorphs: 0.000 eV/atom
Size of the total moment: 1.41 μB per cell
Raw formation energy: -0.65 eV/f.u.


Material: Ac6Sb3TePb2
Method: DFT, PBE
State: optimized geometry

Cell and atoms, written as extended XYZ:
```
12
Lattice="10.522 -2.373 0.000 10.522 2.373 0.000 -2.284 0.000 9.487" Properties=species:S:1:pos:R:3 pbc="T T T"
Ac 20.486 0.000 2.314
Ac -1.727 0.000 7.174
Ac 6.024 0.000 3.978
Ac 4.946 0.000 8.659
Ac 13.814 0.000 0.828
Ac 12.736 0.000 5.509
Sb 2.698 0.000 3.172
Sb 10.522 0.000 0.000
Sb 16.062 0.000 6.315
Te 9.380 0.000 4.744
Pb 1.594 0.000 7.889
Pb 17.166 0.000 1.598
```

Results
Size of the total moment: 0.00 μB per cell
Raw formation energy: -12.31 eV/f.u.


Material: ScAl3F
Method: DFT, PBE
State: optimized geometry

Cell and atoms, written as extended XYZ:
```
5
Lattice="4.398 0.000 0.000 0.000 4.398 0.000 0.000 0.000 4.398" Properties=species:S:1:pos:R:3 pbc="T T T"
Sc 0.000 0.000 0.000
Al 0.000 2.199 2.199
Al 2.199 0.000 2.199
Al 2.199 2.199 0.000
F 2.199 2.199 2.199
```

Results
Relative energy among the computed polymorphs: 0.000 eV/atom
Size of the total moment: 0.00 μB per cell
Raw formation energy: -2.81 eV/f.u.